No. 1
The following is a DFT calculation (PBE-GGA) of a relaxed structure of BaMn2Pb.

Unit cell a=4.9803 b=4.9803 c=4.3967 alpha=90.00 beta=90.00 gamma=90.00
With the nearest neighbours (Å) after each atom.
Fractional positions:
Ba 0.0000 0.0000 0.0000  8 Mn 3.32, 4 Pb 3.52
Mn 0.0000 0.5000 0.5000  4 Ba 3.32, 4 Pb 3.32, 4 Mn 3.52
Mn 0.5000 0.0000 0.5000  4 Ba 3.32, 4 Pb 3.32, 4 Mn 3.52
Pb 0.5000 0.5000 0.0000  8 Mn 3.32, 4 Ba 3.52



No. 2
The following is a DFT calculation (PBE-GGA) of a relaxed structure of K2ZnSnHg6.

Unit cell a=7.8734 b=9.6453 c=8.3594 alpha=90.00 beta=90.00 gamma=90.00
With the nearest neighbours (Å) after each atom.
Fractional positions:
K 0.2500 0.0221 0.2439  1 Zn 3.60, 11 Hg 3.78-3.97, 1 Sn 3.78
K 0.2500 0.4779 0.2439  1 Zn 3.60, 11 Hg 3.78-3.97, 1 Sn 3.78
K 0.7500 0.5221 0.7561  1 Zn 3.60, 11 Hg 3.78-3.97, 1 Sn 3.78
K 0.7500 0.9779 0.7561  1 Zn 3.60, 11 Hg 3.78-3.97, 1 Sn 3.78
Zn 0.2500 0.2500 0.5852  4 Hg 2.64-2.70
Zn 0.7500 0.7500 0.4148  4 Hg 2.64-2.70
Sn 0.2500 0.7500 0.9179  4 Hg 2.87-2.90
Sn 0.7500 0.2500 0.0821  4 Hg 2.87-2.90
Hg 0.0593 0.2500 0.9004  1 Sn 2.87, 1 Hg 3.00, 1 Zn 3.03
Hg 0.0639 0.7500 0.5250  1 Zn 2.64, 1 Hg 2.93
Hg 0.2500 0.5048 0.7175  1 Zn 2.70, 1 Sn 2.90
Hg 0.2500 0.9952 0.7175  1 Zn 2.70, 1 Sn 2.90
Hg 0.4361 0.7500 0.5250  1 Zn 2.64, 1 Hg 2.93
Hg 0.4407 0.2500 0.9004  1 Sn 2.87, 1 Hg 3.00, 1 Zn 3.03
Hg 0.5593 0.7500 0.0996  1 Sn 2.87, 1 Hg 3.00, 1 Zn 3.03
Hg 0.5639 0.2500 0.4750  1 Zn 2.64, 1 Hg 2.93
Hg 0.7500 0.0048 0.2825  1 Zn 2.70, 1 Sn 2.90
Hg 0.7500 0.4952 0.2825  1 Zn 2.70, 1 Sn 2.90
Hg 0.9361 0.2500 0.4750  1 Zn 2.64, 1 Hg 2.93
Hg 0.9407 0.7500 0.0996  1 Sn 2.87, 1 Hg 3.00, 1 Zn 3.03



No. 3
The following is a DFT calculation (PBE-GGA) of a relaxed structure of Mg3ScZn8.

Computed properties:
Energy above the most stable polymorph in this dataset, kJ/mol of atoms: 0.0

Unit cell a=5.2016 b=5.2016 c=8.5578 alpha=90.00 beta=90.00 gamma=120.00
With the nearest neighbours (Å) after each atom.
Fractional positions:
Mg 0.0000 0.0000 0.0000  12 Zn 3.03-3.07, 4 Mg 3.20-3.23
Mg 0.0000 0.0000 0.3775  12 Zn 3.05-3.06, 3 Sc 3.18, 1 Mg 3.23
Mg 0.3333 0.6667 0.8714  12 Zn 3.03-3.10, 1 Sc 3.17, 3 Mg 3.20
Sc 0.3333 0.6667 0.5005  12 Zn 3.03-3.07, 4 Mg 3.17-3.18
Zn 0.0076 0.5038 0.1902  6 Zn 2.54-2.66
Zn 0.3274 0.1637 0.6906  6 Zn 2.55-2.65
Zn 0.4962 0.5038 0.1902  6 Zn 2.54-2.66
Zn 0.4962 0.9924 0.1902  6 Zn 2.54-2.66
Zn 0.6667 0.3333 0.4421  6 Zn 2.62-2.65
Zn 0.6667 0.3333 0.9439  6 Zn 2.61-2.65
Zn 0.8363 0.1637 0.6906  6 Zn 2.55-2.65
Zn 0.8363 0.6726 0.6906  6 Zn 2.55-2.65



no.,energy of formation from the pure elements (eV per atom)
1,0.5944
2,-0.1129
3,-0.1878